a.
Material: HoCd3Pd6
Method: DFT, PBE
State: optimized geometry

Unit cell a=8.7891 b=4.2751 c=9.4323 alpha=90.00 beta=95.44 gamma=90.00
Positions (direct):
Ho 0.0630 0.2500 0.3747
Ho 0.9370 0.7500 0.6253
Cd 0.2474 0.2500 0.0142
Cd 0.3447 0.7500 0.8071
Cd 0.4485 0.2500 0.6023
Cd 0.5515 0.7500 0.3977
Cd 0.6553 0.2500 0.1929
Cd 0.7526 0.7500 0.9858
Pd 0.0543 0.7500 0.9109
Pd 0.1503 0.2500 0.7038
Pd 0.1535 0.7500 0.2065
Pd 0.2516 0.7500 0.5059
Pd 0.3640 0.2500 0.3015
Pd 0.4537 0.7500 0.1002
Pd 0.5463 0.2500 0.8998
Pd 0.6360 0.7500 0.6985
Pd 0.7484 0.2500 0.4941
Pd 0.8465 0.2500 0.7935
Pd 0.8497 0.7500 0.2962
Pd 0.9457 0.2500 0.0891

Summary:
* symmetry: No. 11
* M_tot: 0.00 μB/cell



b.
Material: HoCd3Pd6
Method: DFT, PBE
State: optimized geometry

Unit cell a=8.6737 b=8.6737 c=5.3537 alpha=90.00 beta=90.00 gamma=112.18
Positions (direct):
Ho 0.1735 0.8265 0.5000
Ho 0.8265 0.1735 0.0000
Cd 0.1217 0.2928 0.4988
Cd 0.2928 0.1217 0.9988
Cd 0.4152 0.5848 0.5164
Cd 0.5848 0.4152 0.0164
Cd 0.7072 0.8783 0.4988
Cd 0.8783 0.7072 0.9988
Pd 0.0001 0.9999 0.2488
Pd 0.9999 0.0001 0.7488
Pd 0.0018 0.5003 0.7496
Pd 0.2468 0.7532 0.0013
Pd 0.2579 0.4310 0.0047
Pd 0.4310 0.2579 0.5047
Pd 0.5003 0.0018 0.2496
Pd 0.4997 0.9982 0.7496
Pd 0.5690 0.7421 0.0047
Pd 0.7421 0.5690 0.5047
Pd 0.7532 0.2468 0.5013
Pd 0.9982 0.4997 0.2496

Summary:
* symmetry: No. 36
* M_tot: 0.00 μB/cell



The structure with the greatest stability is a.



a.
Material: Ho2Cd2Pd3
Method: DFT, PBE
State: optimized geometry

Unit cell a=12.7592 b=4.1184 c=6.3946 alpha=90.00 beta=113.07 gamma=90.00
Positions (direct):
Ho 0.1284 0.0000 0.3123
Ho 0.3716 0.5000 0.6877
Ho 0.6284 0.5000 0.3123
Ho 0.8716 0.0000 0.6877
Cd 0.1026 0.5000 0.6986
Cd 0.3974 0.0000 0.3014
Cd 0.6026 0.0000 0.6986
Cd 0.8974 0.5000 0.3014
Pd 0.0000 0.5000 0.0000
Pd 0.2410 0.5000 0.1721
Pd 0.2590 0.0000 0.8279
Pd 0.5000 0.0000 0.0000
Pd 0.7410 0.0000 0.1721
Pd 0.7590 0.5000 0.8279

Summary:
* symmetry: No. 12
* M_tot: 0.00 μB/cell



b.
Material: Ho2Cd2Pd3
Method: DFT, PBE
State: optimized geometry

Unit cell a=4.8089 b=4.8330 c=7.8035 alpha=107.08 beta=91.10 gamma=119.27
Positions (direct):
Ho 0.1117 0.2310 0.3384
Ho 0.8883 0.7690 0.6616
Cd 0.3649 0.7453 0.1071
Cd 0.6351 0.2547 0.8929
Pd 0.2457 0.4750 0.7297
Pd 0.5000 0.0000 0.5000
Pd 0.7543 0.5250 0.2703

Summary:
* symmetry: No. 2
* M_tot: 0.00 μB/cell



The structure with the greatest stability is b.



a.
Material: HoCdPd2
Method: DFT, PBE
State: optimized geometry

Unit cell a=3.5593 b=3.5593 c=6.1185 alpha=90.00 beta=90.00 gamma=90.00
Positions (direct):
Ho 0.0000 0.0000 0.0000
Cd 0.0000 0.0000 0.5000
Pd 0.5000 0.5000 0.2582
Pd 0.5000 0.5000 0.7418

Summary:
* symmetry: No. 123
* M_tot: 0.00 μB/cell



b.
Material: HoCdPd2
Method: DFT, PBE
State: optimized geometry

Unit cell a=4.7077 b=4.7077 c=3.4668 alpha=90.00 beta=90.00 gamma=90.00
Positions (direct):
Ho 0.0000 0.0000 0.0000
Cd 0.5000 0.5000 0.0000
Pd 0.0000 0.5000 0.5000
Pd 0.5000 0.0000 0.5000

Summary:
* symmetry: No. 123
* M_tot: 0.00 μB/cell



The structure with the greatest stability is a.



a.
Material: Ho4CdPd
Method: DFT, PBE
State: optimized geometry

Unit cell a=7.7555 b=7.7555 c=6.0772 alpha=99.67 beta=99.67 gamma=110.83
Positions (direct):
Ho 0.0702 0.7172 0.9521
Ho 0.2038 0.3755 0.6082
Ho 0.2828 0.9298 0.5479
Ho 0.3755 0.2038 0.1082
Ho 0.6245 0.7962 0.8918
Ho 0.7172 0.0702 0.4521
Ho 0.7962 0.6245 0.3918
Ho 0.9298 0.2828 0.0479
Cd 0.3796 0.6204 0.2500
Cd 0.6204 0.3796 0.7500
Pd 0.0006 0.9994 0.2500
Pd 0.9994 0.0006 0.7500

Summary:
* symmetry: No. 15
* M_tot: 0.00 μB/cell



b.
Material: Ho4CdPd
Method: DFT, PBE
State: optimized geometry

Unit cell a=9.6405 b=9.6405 c=9.6405 alpha=60.00 beta=60.00 gamma=60.00
Positions (direct):
Ho 0.1843 0.1843 0.8157
Ho 0.1843 0.8157 0.1843
Ho 0.1843 0.8157 0.8157
Ho 0.3958 0.3958 0.3958
Ho 0.3958 0.3958 0.8126
Ho 0.3958 0.8126 0.3958
Ho 0.5604 0.5604 0.9396
Ho 0.5604 0.9396 0.5604
Ho 0.5604 0.9396 0.9396
Ho 0.8126 0.3958 0.3958
Ho 0.8157 0.1843 0.1843
Ho 0.8157 0.1843 0.8157
Ho 0.8157 0.8157 0.1843
Ho 0.9396 0.5604 0.5604
Ho 0.9396 0.5604 0.9396
Ho 0.9396 0.9396 0.5604
Cd 0.1677 0.1677 0.1677
Cd 0.1677 0.1677 0.4970
Cd 0.1677 0.4970 0.1677
Cd 0.4970 0.1677 0.1677
Pd 0.1844 0.6052 0.6052
Pd 0.6052 0.1844 0.6052
Pd 0.6052 0.6052 0.1844
Pd 0.6052 0.6052 0.6052

Summary:
* symmetry: No. 216
* M_tot: 0.00 μB/cell



The structure with the greatest stability is b.



a.
Material: Ho2CdPd4
Method: DFT, PBE
State: optimized geometry

Unit cell a=8.8916 b=4.3212 c=8.2221 alpha=90.00 beta=116.41 gamma=90.00
Positions (direct):
Ho 0.0249 0.0000 0.2294
Ho 0.4751 0.5000 0.7706
Ho 0.5249 0.5000 0.2294
Ho 0.9751 0.0000 0.7706
Cd 0.0000 0.5000 0.5000
Cd 0.5000 0.0000 0.5000
Pd 0.2236 0.5000 0.8827
Pd 0.2346 0.0000 0.6292
Pd 0.2654 0.5000 0.3708
Pd 0.2764 0.0000 0.1173
Pd 0.7236 0.0000 0.8827
Pd 0.7346 0.5000 0.6292
Pd 0.7654 0.0000 0.3708
Pd 0.7764 0.5000 0.1173

Summary:
* symmetry: No. 12
* M_tot: 0.00 μB/cell



b.
Material: Ho2CdPd4
Method: DFT, PBE
State: optimized geometry

Unit cell a=4.0703 b=4.0703 c=18.3134 alpha=90.00 beta=90.00 gamma=90.00
Positions (direct):
Ho 0.0000 0.0000 0.1321
Ho 0.0000 0.0000 0.8679
Ho 0.5000 0.5000 0.3679
Ho 0.5000 0.5000 0.6321
Cd 0.0000 0.0000 0.5000
Cd 0.5000 0.5000 0.0000
Pd 0.0000 0.0000 0.3552
Pd 0.0000 0.0000 0.6448
Pd 0.0000 0.5000 0.2500
Pd 0.0000 0.5000 0.7500
Pd 0.5000 0.0000 0.2500
Pd 0.5000 0.0000 0.7500
Pd 0.5000 0.5000 0.1448
Pd 0.5000 0.5000 0.8552

Summary:
* symmetry: No. 139
* M_tot: 0.00 μB/cell



The structure with the greatest stability is b.



a.
Material: Ho3Cd2Pd6
Method: DFT, PBE
State: optimized geometry

Unit cell a=8.3944 b=8.3944 c=8.3944 alpha=109.47 beta=109.47 gamma=109.47
Positions (direct):
Ho 0.0000 0.3039 0.3039
Ho 0.0000 0.6961 0.6961
Ho 0.3039 0.0000 0.3039
Ho 0.3039 0.3039 0.0000
Ho 0.6961 0.0000 0.6961
Ho 0.6961 0.6961 0.0000
Cd 0.0000 0.0000 0.5000
Cd 0.0000 0.5000 0.0000
Cd 0.5000 0.0000 0.0000
Cd 0.5000 0.5000 0.5000
Pd 0.0000 0.3454 0.6546
Pd 0.0000 0.6546 0.3454
Pd 0.3093 0.6546 0.6546
Pd 0.3454 0.0000 0.6546
Pd 0.3454 0.3454 0.6907
Pd 0.3454 0.6546 0.0000
Pd 0.3454 0.6907 0.3454
Pd 0.6546 0.0000 0.3454
Pd 0.6546 0.3093 0.6546
Pd 0.6546 0.3454 0.0000
Pd 0.6546 0.6546 0.3093
Pd 0.6907 0.3454 0.3454

Summary:
* symmetry: No. 229
* M_tot: 0.00 μB/cell



b.
Material: Ho3Cd2Pd6
Method: DFT, PBE
State: optimized geometry

Unit cell a=13.1367 b=13.1367 c=13.1367 alpha=161.66 beta=161.66 gamma=26.06
Positions (direct):
Ho 0.0000 0.0000 0.0000
Ho 0.1999 0.1999 0.0000
Ho 0.8001 0.8001 0.0000
Cd 0.4469 0.4469 0.0000
Cd 0.5531 0.5531 0.0000
Pd 0.1198 0.6198 0.5000
Pd 0.3088 0.3088 0.0000
Pd 0.3802 0.8802 0.5000
Pd 0.6198 0.1198 0.5000
Pd 0.6912 0.6912 0.0000
Pd 0.8802 0.3802 0.5000

Summary:
* symmetry: No. 139
* M_tot: 0.00 μB/cell



The structure with the greatest stability is a.



a.
Material: HoCd2Pd8
Method: DFT, PBE
State: optimized geometry

Unit cell a=6.8503 b=6.8503 c=4.3897 alpha=90.00 beta=90.00 gamma=105.69
Positions (direct):
Ho 0.0000 0.0000 0.0000
Cd 0.3742 0.6258 0.5000
Cd 0.6258 0.3742 0.5000
Pd 0.0363 0.3046 0.5000
Pd 0.2452 0.7548 0.0000
Pd 0.3046 0.0363 0.5000
Pd 0.3337 0.3337 0.0000
Pd 0.6663 0.6663 0.0000
Pd 0.6954 0.9637 0.5000
Pd 0.7548 0.2452 0.0000
Pd 0.9637 0.6954 0.5000

Summary:
* symmetry: No. 65
* M_tot: 0.00 μB/cell



b.
Material: HoCd2Pd8
Method: DFT, PBE
State: optimized geometry

Unit cell a=7.5571 b=7.5571 c=6.4004 alpha=104.92 beta=104.92 gamma=31.87
Positions (direct):
Ho 0.0000 0.0000 0.0000
Cd 0.2752 0.2752 0.3526
Cd 0.7248 0.7248 0.6474
Pd 0.0914 0.0914 0.4608
Pd 0.1812 0.1812 0.9115
Pd 0.3619 0.3619 0.8163
Pd 0.4580 0.4580 0.2784
Pd 0.5420 0.5420 0.7216
Pd 0.6381 0.6381 0.1837
Pd 0.8188 0.8188 0.0885
Pd 0.9086 0.9086 0.5392

Summary:
* symmetry: No. 12
* M_tot: 0.00 μB/cell



The structure with the greatest stability is b.



a.
Material: TbHoCdPd
Method: DFT, PBE
State: optimized geometry

Unit cell a=7.2434 b=7.2434 c=7.2434 alpha=90.00 beta=90.00 gamma=90.00
Positions (direct):
Tb 0.0000 0.0000 0.0000
Tb 0.0000 0.5000 0.5000
Tb 0.5000 0.0000 0.5000
Tb 0.5000 0.5000 0.0000
Ho 0.0000 0.0000 0.5000
Ho 0.0000 0.5000 0.0000
Ho 0.5000 0.0000 0.0000
Ho 0.5000 0.5000 0.5000
Cd 0.2500 0.2500 0.2500
Cd 0.2500 0.7500 0.7500
Cd 0.7500 0.2500 0.7500
Cd 0.7500 0.7500 0.2500
Pd 0.2500 0.2500 0.7500
Pd 0.2500 0.7500 0.2500
Pd 0.7500 0.2500 0.2500
Pd 0.7500 0.7500 0.7500

Summary:
* symmetry: No. 216
* M_tot: 0.00 μB/cell



b.
Material: TbHoCdPd
Method: DFT, PBE
State: optimized geometry

Unit cell a=3.5986 b=3.5986 c=7.3580 alpha=90.00 beta=90.00 gamma=90.00
Positions (direct):
Tb 0.0000 0.0000 0.0000
Ho 0.0000 0.0000 0.5459
Cd 0.5000 0.5000 0.2762
Pd 0.5000 0.5000 0.7671

Summary:
* symmetry: No. 99
* M_tot: 0.00 μB/cell



The structure with the greatest stability is b.



a.
Material: HoTmCdPd
Method: DFT, PBE
State: optimized geometry

Unit cell a=3.5619 b=3.5619 c=7.3249 alpha=90.00 beta=90.00 gamma=90.00
Positions (direct):
Ho 0.0000 0.0000 0.0000
Tm 0.0000 0.0000 0.5478
Cd 0.5000 0.5000 0.2769
Pd 0.5000 0.5000 0.7685

Summary:
* symmetry: No. 99
* M_tot: 0.00 μB/cell



b.
Material: HoTmCdPd
Method: DFT, PBE
State: optimized geometry

Unit cell a=7.1835 b=7.1835 c=7.1835 alpha=90.00 beta=90.00 gamma=90.00
Positions (direct):
Ho 0.0000 0.0000 0.0000
Ho 0.0000 0.5000 0.5000
Ho 0.5000 0.0000 0.5000
Ho 0.5000 0.5000 0.0000
Tm 0.0000 0.0000 0.5000
Tm 0.0000 0.5000 0.0000
Tm 0.5000 0.0000 0.0000
Tm 0.5000 0.5000 0.5000
Cd 0.2500 0.2500 0.2500
Cd 0.2500 0.7500 0.7500
Cd 0.7500 0.2500 0.7500
Cd 0.7500 0.7500 0.2500
Pd 0.2500 0.2500 0.7500
Pd 0.2500 0.7500 0.2500
Pd 0.7500 0.2500 0.2500
Pd 0.7500 0.7500 0.7500

Summary:
* symmetry: No. 216
* M_tot: 0.00 μB/cell



The structure with the greatest stability is a.



a.
Material: Pm2Ho2Cd
Method: DFT, PBE
State: optimized geometry

Unit cell a=3.6050 b=3.6050 c=23.3742 alpha=90.00 beta=90.00 gamma=90.00
Positions (direct):
Pm 0.0000 0.0000 0.1940
Pm 0.0000 0.0000 0.8060
Pm 0.5000 0.5000 0.3060
Pm 0.5000 0.5000 0.6940
Ho 0.0000 0.0000 0.4136
Ho 0.0000 0.0000 0.5864
Ho 0.5000 0.5000 0.0864
Ho 0.5000 0.5000 0.9136
Cd 0.0000 0.0000 0.0000
Cd 0.5000 0.5000 0.5000

Summary:
* symmetry: No. 139
* M_tot: 0.00 μB/cell



b.
Material: Pm2Ho2Cd
Method: DFT, PBE
State: optimized geometry

Unit cell a=6.3161 b=6.3161 c=8.5454 alpha=107.15 beta=107.15 gamma=95.63
Positions (direct):
Pm 0.1634 0.1634 0.4320
Pm 0.2838 0.2838 0.8825
Pm 0.7162 0.7162 0.1175
Pm 0.8366 0.8366 0.5680
Ho 0.2414 0.6099 0.2795
Ho 0.3901 0.7586 0.7205
Ho 0.6099 0.2414 0.2795
Ho 0.7586 0.3901 0.7205
Cd 0.1591 0.8409 0.0000
Cd 0.8409 0.1591 0.0000

Summary:
* symmetry: No. 12
* M_tot: 0.00 μB/cell



The structure with the greatest stability is a.



a.
Material: PmHoCd3
Method: DFT, PBE
State: optimized geometry

Unit cell a=14.9393 b=14.9393 c=4.9984 alpha=90.00 beta=90.00 gamma=166.55
Positions (direct):
Pm 0.0750 0.9250 0.7500
Pm 0.9250 0.0750 0.2500
Ho 0.2151 0.7849 0.2500
Ho 0.7849 0.2151 0.7500
Cd 0.3230 0.6770 0.2500
Cd 0.3774 0.6226 0.7500
Cd 0.4759 0.5241 0.7500
Cd 0.5241 0.4759 0.2500
Cd 0.6226 0.3774 0.2500
Cd 0.6770 0.3230 0.7500

Summary:
* symmetry: No. 63
* M_tot: 0.00 μB/cell



b.
Material: PmHoCd3
Method: DFT, PBE
State: optimized geometry

Unit cell a=8.9899 b=8.9899 c=8.3026 alpha=90.00 beta=90.00 gamma=52.72
Positions (direct):
Pm 0.0260 0.4091 0.2500
Pm 0.4091 0.0260 0.7500
Pm 0.5909 0.9740 0.2500
Pm 0.9740 0.5909 0.7500
Ho 0.1189 0.8811 0.7500
Ho 0.4444 0.5556 0.2500
Ho 0.5556 0.4444 0.7500
Ho 0.8811 0.1189 0.2500
Cd 0.0550 0.7330 0.0769
Cd 0.0550 0.7330 0.4231
Cd 0.2670 0.9450 0.0769
Cd 0.2670 0.9450 0.4231
Cd 0.3425 0.3425 0.0000
Cd 0.3425 0.3425 0.5000
Cd 0.6575 0.6575 0.0000
Cd 0.6575 0.6575 0.5000
Cd 0.7330 0.0550 0.5769
Cd 0.7330 0.0550 0.9231
Cd 0.9450 0.2670 0.5769
Cd 0.9450 0.2670 0.9231

Summary:
* symmetry: No. 63
* M_tot: 0.00 μB/cell



The structure with the greatest stability is a.